KBaPrWO6 | PBE+U | optimized geometry

Geometry as POSCAR:
```
KBaPrWO6
1.0
0.000 4.325 4.325
4.325 0.000 4.325
4.325 4.325 0.000
K Ba Pr W O
1 1 1 1 6
direct
0.000 0.000 0.000
0.500 0.500 0.500
0.750 0.750 0.750
0.250 0.250 0.250
0.023 0.023 0.477
0.023 0.477 0.023
0.023 0.477 0.477
0.477 0.023 0.023
0.477 0.023 0.477
0.477 0.477 0.023
```

Calculated values
The value obtained for the total energy is -7.067 eV/atom. Its volume is 161.79 Å³/f.u. The space group is F-43m, No. 216. The total magnetization is 0.00 μB/f.u.